Below is NdTl2Cr3F12 after structural relaxation, with properties calculated at the PBE+U level.

abc: 7.031 7.031 7.031
angles: 68.74 68.74 68.74
Element x y z (fractional)
F1 0.867 0.394 0.867
F2 0.394 0.867 0.867
F3 0.255 0.912 0.255
F4 0.867 0.867 0.394
F5 0.133 0.606 0.133
F6 0.745 0.088 0.745
F7 0.912 0.255 0.255
F8 0.088 0.745 0.745
F9 0.606 0.133 0.133
F10 0.133 0.133 0.606
F11 0.255 0.255 0.912
F12 0.745 0.745 0.088
Nd1 0.000 0.000 0.000
Cr1 0.500 0.000 0.000
Cr2 0.000 0.000 0.500
Cr3 0.000 0.500 0.000
Tl1 0.615 0.615 0.615
Tl2 0.385 0.385 0.385

Properties
**Density**: 5347 kg/m3
**Raw total energy**: -103.9 eV per formula unit
**SG**: R-3m
**Magnetization**: 11.00 μB per cell